The following is a GGA-PBE calculation of a relaxed LaPr2In crystal, from Alexandria via LeMat-Bulk.

The structure in extended XYZ format:
```
4
Lattice="3.751 0.000 0.000 0.000 3.751 0.000 0.000 0.000 9.416" Properties=species:S:1:pos:R:3 pbc="T T T"
Pr 0.000 0.000 7.313
Pr 0.000 0.000 2.103
In 1.875 1.875 0.000
La 1.875 1.875 4.708
```

## Properties
Total magnetization ... 0.0 Bohr magnetons per cell
Energy of formation ... -0.231 eV/atom
Total energy ... -4.537 eV per atom

=====

The following is a GGA-PBE calculation of a relaxed YMn2CuAg crystal, from Alexandria via LeMat-Bulk.

The structure in extended XYZ format:
```
5
Lattice="-2.734 -3.434 -2.294 1.501 -3.590 3.584 -3.884 1.201 2.830" Properties=species:S:1:pos:R:3 pbc="T T T"
Y 0.000 0.000 0.000
Mn -1.367 -1.717 -1.147
Mn -1.942 0.601 1.415
Cu -2.558 -2.911 2.060
Ag 0.751 -1.795 1.792
```

## Properties
Total magnetization ... 6.9 Bohr magnetons per cell
Energy of formation ... 1.696 eV/atom
Total energy ... -4.655 eV per atom

=====

The following is a GGA-PBE calculation of a relaxed SnPt2CBr crystal, from Alexandria via LeMat-Bulk.

The structure in extended XYZ format:
```
5
Lattice="4.975 0.000 0.000 0.000 4.050 0.000 0.000 0.000 4.975" Properties=species:S:1:pos:R:3 pbc="T T T"
Br 0.000 0.000 0.000
C 0.000 2.025 0.000
Pt 0.000 0.000 2.487
Sn 2.487 2.025 2.487
Pt 2.487 0.000 0.000
```

## Properties
Total magnetization ... 0.5 Bohr magnetons per cell
Total energy ... -3.702 eV per atom

=====

The following is a GGA-PBE calculation of a relaxed MgAlPd crystal, from Alexandria via LeMat-Bulk.

The structure in extended XYZ format:
```
3
Lattice="3.246 0.000 0.000 0.000 3.246 0.000 -1.623 -1.623 4.684" Properties=species:S:1:pos:R:3 pbc="T T T"
Pd 1.623 1.623 4.081
Al 0.000 0.000 2.849
Mg 1.623 1.623 1.033
```

## Properties
Total magnetization ... 0.0 Bohr magnetons per cell
Energy of formation ... -0.599 eV/atom
Total energy ... -4.109 eV per atom

=====

The following is a GGA-PBE calculation of a relaxed CaHf2InH crystal, from Alexandria via LeMat-Bulk.

The structure in extended XYZ format:
```
5
Lattice="-5.248 -1.088 -1.849 0.562 -3.430 0.423 -1.943 0.337 5.316" Properties=species:S:1:pos:R:3 pbc="T T T"
Ca 0.000 0.000 0.000
In -3.314 -2.091 1.945
Hf -2.624 -0.544 -0.925
Hf -0.971 0.168 2.658
H 0.281 -1.715 0.211
```

## Properties
Total magnetization ... 0.0 Bohr magnetons per cell
Total energy ... -4.446 eV per atom

=====

The following is a GGA-PBE calculation of a relaxed YAlIr2 crystal, from Alexandria via LeMat-Bulk.

The structure in extended XYZ format:
```
4
Lattice="-1.371 -0.576 -5.083 -3.822 -1.527 -3.332 -2.337 3.746 -1.239" Properties=species:S:1:pos:R:3 pbc="T T T"
Ir -5.508 1.091 -7.120
Ir -5.286 -1.861 -8.413
Al -1.847 0.128 -2.517
Y -3.848 1.002 -4.845
```

## Properties
Total magnetization ... 0.0 Bohr magnetons per cell
Energy of formation ... -0.517 eV/atom
Total energy ... -7.499 eV per atom

=====

The following is a GGA-PBE calculation of a relaxed SrTa2C crystal, from Alexandria via LeMat-Bulk.

The structure in extended XYZ format:
```
8
Lattice="6.559 0.000 0.000 0.000 6.559 0.000 3.279 3.279 4.641" Properties=species:S:1:pos:R:3 pbc="T T T"
Sr 0.000 0.000 0.000
Ta 8.198 6.561 3.481
Ta 3.282 1.640 1.160
C 3.279 6.559 2.320
Sr 6.559 3.279 2.320
Ta 4.919 6.556 3.481
Ta 3.277 4.919 1.160
C 3.279 3.279 0.000
```

## Properties
Total magnetization ... 0.0 Bohr magnetons per cell
Energy of formation ... 0.612 eV/atom
Total energy ... -8.040 eV per atom

=====

The following is a GGA-PBE calculation of a relaxed Sr2ZnInTe5 crystal, from Alexandria via LeMat-Bulk.

The structure in extended XYZ format:
```
18
Lattice="4.424 0.000 0.000 -2.212 10.449 0.000 0.000 0.000 13.455" Properties=species:S:1:pos:R:3 pbc="T T T"
Te 2.212 2.633 6.429
Te 2.212 4.484 12.246
In 2.212 1.662 12.707
Te 0.000 10.259 3.623
Zn 2.212 5.170 7.199
Sr 2.212 7.854 10.659
Te 2.212 9.335 7.625
Sr 0.000 2.095 8.755
Zn 0.000 5.278 0.472
Sr 2.212 8.354 2.027
Te 0.000 5.965 5.519
Te 2.212 0.190 10.351
In 0.000 8.787 5.980
Te 0.000 1.113 0.898
Te 2.212 4.947 2.389
Te 0.000 5.502 9.116
Te 0.000 7.816 13.157
Sr 0.000 2.595 3.932
```

## Properties
Total magnetization ... 0.0 Bohr magnetons per cell
Total energy ... -3.401 eV per atom

=====

The following is a GGA-PBE calculation of a relaxed Er4Sb2O crystal, from Alexandria via LeMat-Bulk.

The structure in extended XYZ format:
```
7
Lattice="4.447 0.000 0.000 0.000 4.447 0.000 -2.223 -2.223 8.428" Properties=species:S:1:pos:R:3 pbc="T T T"
Sb 2.223 2.223 2.305
Er 0.000 0.000 3.040
Er 0.000 2.223 0.000
Er 2.223 0.000 0.000
Er 2.223 2.223 5.388
O 0.000 0.000 0.000
Sb 0.000 0.000 6.123
```

## Properties
Total magnetization ... 0.0 Bohr magnetons per cell
Total energy ... -5.895 eV per atom

=====

The following is a GGA-PBE calculation of a relaxed TiCoB crystal, from Alexandria via LeMat-Bulk.

The structure in extended XYZ format:
```
6
Lattice="-1.551 1.174 2.291 -2.480 0.442 -1.905 -1.064 -6.346 2.531" Properties=species:S:1:pos:R:3 pbc="T T T"
Co -2.539 -2.777 2.661
B -1.786 0.093 -0.271
Ti -3.492 -4.442 0.898
Ti -1.602 -0.288 2.019
B -3.308 -4.824 3.188
Co -2.556 -1.953 0.256
```

## Properties
Total magnetization ... 2.8 Bohr magnetons per cell
Energy of formation ... -0.597 eV/atom
Total energy ... -7.823 eV per atom

=====

The following is a GGA-PBE calculation of a relaxed LiInNi crystal, from Alexandria via LeMat-Bulk.

The structure in extended XYZ format:
```
3
Lattice="4.262 0.000 0.000 2.131 3.691 0.000 2.131 1.230 3.480" Properties=species:S:1:pos:R:3 pbc="T T T"
Ni 6.394 3.691 2.610
Li 4.262 2.461 1.740
In 0.000 0.000 0.000
```

## Properties
Total magnetization ... 0.0 Bohr magnetons per cell
Energy of formation ... 0.008 eV/atom
Total energy ... -3.470 eV per atom

=====

The following is a GGA-PBE calculation of a relaxed InCu2W crystal, from Alexandria via LeMat-Bulk.

The structure in extended XYZ format:
```
8
Lattice="-4.912 4.533 -1.955 -4.905 -4.171 2.653 -4.687 1.475 2.793" Properties=species:S:1:pos:R:3 pbc="T T T"
In -7.250 -1.258 2.898
Cu -4.900 2.721 -0.209
Cu -7.152 1.279 2.333
Cu -12.150 1.385 2.730
W -7.254 3.094 0.594
In -4.909 0.181 0.349
W 0.000 0.000 0.000
Cu -4.807 -1.713 2.130
```

## Properties
Total magnetization ... 0.0 Bohr magnetons per cell
Energy of formation ... 0.827 eV/atom
Total energy ... -5.144 eV per atom

=====

Repeat the first record exactly.
The following is a GGA-PBE calculation of a relaxed LaPr2In crystal, from Alexandria via LeMat-Bulk.

The structure in extended XYZ format:
```
4
Lattice="3.751 0.000 0.000 0.000 3.751 0.000 0.000 0.000 9.416" Properties=species:S:1:pos:R:3 pbc="T T T"
Pr 0.000 0.000 7.313
Pr 0.000 0.000 2.103
In 1.875 1.875 0.000
La 1.875 1.875 4.708
```

## Properties
Total magnetization ... 0.0 Bohr magnetons per cell
Energy of formation ... -0.231 eV/atom
Total energy ... -4.537 eV per atom